No. 1
# GGA-PBE ZrZnFeAs, relaxed
# crystal system: cubic
# relative energy among the computed polymorphs: 0 meV per atom
data_ZrZnFeAs
_chemical_formula_sum 'Zr4 Zn4 Fe4 As4'
_cell_length_a 6.353
_cell_length_b 6.353
_cell_length_c 6.353
_cell_angle_alpha 90.00
_cell_angle_beta 90.00
_cell_angle_gamma 90.00
_space_group_name_H-M_alt 'F -4 3 m'
_space_group_IT_number 216
_space_group_name_Hall 'F -4 2 3'
loop_
_atom_site_label
_atom_site_type_symbol
_atom_site_fract_x
_atom_site_fract_y
_atom_site_fract_z
Zr1 Zr 0.000 0.000 0.000
Zn1 Zn 0.250 0.250 0.750
Fe1 Fe 0.000 0.000 0.500
As1 As 0.250 0.250 0.250



No. 2
# GGA-PBE ZrFeAs, relaxed
# crystal system: orthorhombic
# VASP energy: -7.937 eV/atom
data_ZrFeAs
_chemical_formula_sum 'Zr4 Fe4 As4'
_cell_length_a 6.488
_cell_length_b 3.913
_cell_length_c 7.238
_cell_angle_alpha 90.00
_cell_angle_beta 90.00
_cell_angle_gamma 90.00
_space_group_name_H-M_alt 'P n m a'
_space_group_IT_number 62
_space_group_name_Hall '-P 2ac 2n'
loop_
_atom_site_label
_atom_site_type_symbol
_atom_site_fract_x
_atom_site_fract_y
_atom_site_fract_z
Zr1 Zr 0.014 0.250 0.189
Fe1 Fe 0.146 0.250 0.563
As1 As 0.221 0.750 0.387



| no. | total magnetic moment (μB per cell) |
| --- | --- |
| 1 | 5.7 |
| 2 | 1.5 |